[1]
Entry from Alexandria: a relaxed Na3Pm2PuTe6 crystal (PBE).

a b c (Å): 7.8350 7.8350 7.9665
angles (deg): 99.43 99.43 119.99
Last column: nearest neighbours and their distance in Å.
Atoms (fractional coordinates):
Na 0.1672 0.8328 0.5000  6 Te 3.27-3.28
Na 0.5000 0.5000 0.5000  6 Te 3.27-3.29
Na 0.8328 0.1672 0.5000  6 Te 3.27-3.28
Pm 0.6665 0.3335 0.0000  6 Te 3.17
Pm 0.3335 0.6665 0.0000  6 Te 3.17
Te 0.9211 0.5894 0.7630  1 Pu 3.15, 2 Pm 3.17, 3 Na 3.27-3.28
Te 0.0789 0.4106 0.2370  1 Pu 3.15, 2 Pm 3.17, 3 Na 3.27-3.28
Te 0.2527 0.2527 0.7632  1 Pu 3.15, 2 Pm 3.17, 3 Na 3.28-3.29
Te 0.5894 0.9211 0.7630  1 Pu 3.15, 2 Pm 3.17, 3 Na 3.27-3.28
Te 0.7473 0.7473 0.2368  1 Pu 3.15, 2 Pm 3.17, 3 Na 3.28-3.29
Te 0.4106 0.0789 0.2370  1 Pu 3.15, 2 Pm 3.17, 3 Na 3.27-3.28
Pu 0.0000 0.0000 0.0000  6 Te 3.15

DOS at the Fermi energy, states/eV/cell: 14.6
E, eV per atom: -5.106
Crystal system: monoclinic
E_form (uncorrected), eV/atom: -1.219
Calculated volume, A^3/atom: 33.350
Symmetry: C2/m

---

[2]
Entry from Alexandria: a relaxed NaPm3Pu2Te6 crystal (PBE).

a b c (Å): 4.4494 8.9748 10.0162
angles (deg): 103.28 102.83 90.00
Last column: nearest neighbours and their distance in Å.
Atoms (fractional coordinates):
Pu 0.8333 0.6672 0.6666  6 Te 3.14-3.16
Pu 0.1667 0.3328 0.3334  6 Te 3.14-3.16
Te 0.0004 0.2499 0.0008  1 Pu 3.16, 2 Na 3.16, 3 Pm 3.16
Te 0.3327 0.4202 0.6655  3 Pu 3.14-3.15, 3 Pm 3.17-3.18
Te 0.6664 0.0833 0.3329  2 Pu 3.16, 1 Na 3.16, 3 Pm 3.18
Te 0.6673 0.5798 0.3345  3 Pu 3.14-3.15, 3 Pm 3.17-3.18
Te 0.3336 0.9167 0.6671  2 Pu 3.16, 1 Na 3.16, 3 Pm 3.18
Te 0.9996 0.7501 0.9992  1 Pu 3.16, 2 Na 3.16, 3 Pm 3.16
Na 0.5000 0.0000 0.0000  6 Te 3.16
Pm 0.5000 0.5000 0.0000  6 Te 3.16-3.18
Pm 0.8338 0.1694 0.6677  6 Te 3.16-3.18
Pm 0.1662 0.8306 0.3323  6 Te 3.16-3.18

DOS at the Fermi energy, states/eV/cell: 26.8
E, eV per atom: -6.538
Crystal system: monoclinic
E_form (uncorrected), eV/atom: -1.281
Calculated volume, A^3/atom: 31.583
Symmetry: C2/m

---

[3]
Entry from Alexandria: a relaxed Na3PmPu2Te6 crystal (PBE).

a b c (Å): 7.8039 7.8039 7.9476
angles (deg): 99.42 99.42 120.00
Last column: nearest neighbours and their distance in Å.
Atoms (fractional coordinates):
Pu 0.3332 0.6668 0.0000  6 Te 3.13-3.14
Pu 0.6668 0.3332 0.0000  6 Te 3.13-3.14
Na 0.8344 0.1656 0.5000  6 Te 3.26-3.28
Na 0.1656 0.8344 0.5000  6 Te 3.26-3.28
Na 0.5000 0.5000 0.5000  6 Te 3.25-3.28
Te 0.7419 0.7419 0.2357  2 Pu 3.14, 1 Pm 3.17, 3 Na 3.25-3.27
Te 0.2581 0.2581 0.7643  2 Pu 3.14, 1 Pm 3.17, 3 Na 3.25-3.27
Te 0.0786 0.4151 0.2355  2 Pu 3.13, 1 Pm 3.17, 3 Na 3.26-3.28
Te 0.9214 0.5849 0.7645  2 Pu 3.13, 1 Pm 3.17, 3 Na 3.26-3.28
Te 0.5849 0.9214 0.7645  2 Pu 3.13, 1 Pm 3.17, 3 Na 3.26-3.28
Te 0.4151 0.0786 0.2355  2 Pu 3.13, 1 Pm 3.17, 3 Na 3.26-3.28
Pm 0.0000 0.0000 0.0000  6 Te 3.17

DOS at the Fermi energy, states/eV/cell: 26.5
E, eV per atom: -5.812
Crystal system: monoclinic
E_form (uncorrected), eV/atom: -1.127
Calculated volume, A^3/atom: 33.008
Symmetry: C2/m

---

[4]
Entry from Alexandria: a relaxed Na2PmPuTe4 crystal (PBE).

a b c (Å): 4.5204 7.8191 7.9606
angles (deg): 109.24 90.00 90.00
Last column: nearest neighbours and their distance in Å.
Atoms (fractional coordinates):
Pu 0.0000 0.0000 0.0000  6 Te 3.14-3.16
Te 0.0000 0.7472 0.2379  1 Pu 3.16, 2 Pm 3.17, 3 Na 3.26-3.28
Te 0.0000 0.2528 0.7621  1 Pu 3.16, 2 Pm 3.17, 3 Na 3.26-3.28
Te 0.5000 0.7576 0.7656  2 Pu 3.14, 1 Pm 3.16, 3 Na 3.27-3.29
Te 0.5000 0.2424 0.2344  2 Pu 3.14, 1 Pm 3.16, 3 Na 3.27-3.29
Na 0.5000 0.0000 0.5000  6 Te 3.26-3.27
Na 0.0000 0.5000 0.5000  6 Te 3.28-3.29
Pm 0.5000 0.5000 0.0000  6 Te 3.16-3.17

DOS at the Fermi energy, states/eV/cell: 14.1
E, eV per atom: -5.459
Crystal system: monoclinic
E_form (uncorrected), eV/atom: -1.173
Calculated volume, A^3/atom: 33.208
Symmetry: P2/m

---

[5]
Entry from Alexandria: a relaxed NaPm2PuTe4 crystal (PBE).

a b c (Å): 4.4602 7.7622 7.7999
angles (deg): 109.29 90.00 90.00
Last column: nearest neighbours and their distance in Å.
Atoms (fractional coordinates):
Pu 0.5000 0.5000 0.0000  6 Te 3.16-3.18
Pm 0.5000 0.0000 0.5000  6 Te 3.17-3.18
Pm 0.0000 0.5000 0.5000  6 Te 3.16-3.18
Te 0.5000 0.7495 0.7490  3 Pm 3.16-3.17, 2 Na 3.17, 1 Pu 3.18
Te 0.0000 0.7491 0.2479  2 Pu 3.16, 1 Na 3.17, 3 Pm 3.18
Te 0.5000 0.2505 0.2510  3 Pm 3.16-3.17, 2 Na 3.17, 1 Pu 3.18
Te 0.0000 0.2509 0.7521  2 Pu 3.16, 1 Na 3.17, 3 Pm 3.18
Na 0.0000 0.0000 0.0000  6 Te 3.17

DOS at the Fermi energy, states/eV/cell: 15.4
E, eV per atom: -6.004
Crystal system: monoclinic
E_form (uncorrected), eV/atom: -1.289
Calculated volume, A^3/atom: 31.861
Symmetry: P2/m

---

[6]
Entry from Alexandria: a relaxed NaPmPu2Te4 crystal (PBE).

a b c (Å): 4.4662 7.7812 7.7501
angles (deg): 109.27 90.00 90.00
Last column: nearest neighbours and their distance in Å.
Atoms (fractional coordinates):
Te 0.0000 0.7533 0.2537  3 Pu 3.15-3.16, 1 Pm 3.17, 2 Na 3.19
Te 0.0000 0.2467 0.7463  3 Pu 3.15-3.16, 1 Pm 3.17, 2 Na 3.19
Te 0.5000 0.2507 0.2524  3 Pu 3.16, 1 Na 3.18, 2 Pm 3.18
Te 0.5000 0.7493 0.7476  3 Pu 3.16, 1 Na 3.18, 2 Pm 3.18
Pm 0.0000 0.0000 0.0000  6 Te 3.17-3.18
Pu 0.5000 0.0000 0.5000  6 Te 3.15-3.16
Pu 0.0000 0.5000 0.5000  6 Te 3.16
Na 0.5000 0.5000 0.0000  6 Te 3.18-3.19

DOS at the Fermi energy, states/eV/cell: 23.1
E, eV per atom: -7.095
Crystal system: monoclinic
E_form (uncorrected), eV/atom: -1.182
Calculated volume, A^3/atom: 31.780
Symmetry: P2/m

---

[7]
Entry from Alexandria: a relaxed NaPmRh2 crystal (PBE).

a b c (Å): 3.4596 3.4596 6.6200
angles (deg): 90.00 90.00 90.00
Last column: nearest neighbours and their distance in Å.
Atoms (fractional coordinates):
Na 0.5000 0.5000 0.5000  8 Rh 2.99, 2 Pm 3.31
Pm 0.5000 0.5000 0.0000  8 Rh 2.92
Rh 0.0000 0.0000 0.2404  4 Pm 2.92, 4 Na 2.99, 1 Rh 3.18
Rh 0.0000 0.0000 0.7596  4 Pm 2.92, 4 Na 2.99, 1 Rh 3.18

Formation enthalpy at 0 K, eV per formula unit: -0.48
DOS at the Fermi energy, states/eV/cell: 2.4
E, eV per atom: -5.312
Crystal system: tetragonal
Calculated volume, A^3/atom: 19.808
Symmetry: P4/mmm

---

[8]
Entry from Alexandria: a relaxed NaPm3Rh8 crystal (PBE).

a b c (Å): 5.3600 5.3600 9.3336
angles (deg): 73.31 73.31 60.00
Last column: nearest neighbours and their distance in Å.
Atoms (fractional coordinates):
Rh 0.9377 0.4366 0.6880  6 Rh 2.67-2.69
Rh 0.4366 0.9377 0.6880  6 Rh 2.67-2.69
Rh 0.9377 0.9377 0.6880  6 Rh 2.67-2.69
Rh 0.4370 0.9399 0.1861  6 Rh 2.66-2.70
Rh 0.6876 0.6876 0.9371  6 Rh 2.69
Rh 0.1876 0.1876 0.4373  6 Rh 2.69
Rh 0.9399 0.4370 0.1861  6 Rh 2.66-2.70
Rh 0.4370 0.4370 0.1861  6 Rh 2.66-2.70
Na 0.8732 0.8732 0.3805  12 Rh 3.12-3.18, 4 Pm 3.20-3.23
Pm 0.3762 0.3762 0.8713  12 Rh 3.13-3.17, 4 Pm 3.35-3.41
Pm 0.5052 0.5052 0.4844  12 Rh 3.05-3.22, 3 Na 3.23, 1 Pm 3.41
Pm 0.9943 0.9943 0.0172  12 Rh 3.06-3.28, 1 Na 3.20, 3 Pm 3.35

Formation enthalpy at 0 K, eV per formula unit: -6.11
DOS at the Fermi energy, states/eV/cell: 9.7
E, eV per atom: -6.708
Crystal system: trigonal
Calculated volume, A^3/atom: 18.257
Symmetry: R3m